1.
Entry from Alexandria via LeMat-Bulk: a relaxed structure of Al2Hg3 (PBE).

POSCAR file:
```
Al2Hg3
1.0
0.000 8.199 2.450
5.775 0.000 2.450
5.775 8.199 0.000
Al Hg
4 6
direct
0.025 0.475 0.061
0.189 0.811 0.225
0.475 0.025 0.439
0.811 0.189 0.775
0.041 0.487 0.763
0.051 0.051 0.449
0.487 0.041 0.709
0.487 0.541 0.209
0.541 0.487 0.763
0.801 0.801 0.199
```

Summary:
ΔH_f (0 K) = 0.69 eV per formula unit
E = -1.541 eV/atom
offset from the most stable computed form = 14 meV per atom


2.
Entry from Alexandria via LeMat-Bulk: a relaxed structure of Zr2CoBr (PBE).

POSCAR file:
```
Zr2CoBr
1.0
3.350 0.000 0.000
0.000 3.350 0.000
0.000 0.000 7.343
Zr Co Br
2 1 1
direct
0.000 0.000 0.000
0.500 0.500 0.290
0.500 0.500 0.864
0.000 0.000 0.532
```

Summary:
formation energy from raw total energies = -156 meV/atom
E = -6.625 eV/atom
offset from the most stable computed form = 307 meV per atom


3.
Entry from Alexandria via LeMat-Bulk: a relaxed structure of PmErScCd (PBE).

POSCAR file:
```
PmErScCd
1.0
3.581 0.000 0.000
0.000 3.581 0.000
0.000 0.000 8.678
Pm Er Sc Cd
1 1 1 1
direct
0.000 0.000 0.000
0.000 0.000 0.517
0.500 0.500 0.265
0.500 0.500 0.747
```

Summary:
ΔH_f (0 K) = -0.47 eV per formula unit
E = -4.257 eV/atom
offset from the most stable computed form = 0 meV per atom


4.
Entry from Alexandria via LeMat-Bulk: a relaxed structure of RePPt3 (PBE).

POSCAR file:
```
RePPt3
1.0
4.488 0.000 0.000
0.000 4.488 0.000
0.000 0.000 4.488
Re P Pt
1 1 3
direct
0.000 0.000 0.000
0.500 0.500 0.500
0.000 0.500 0.500
0.500 0.000 0.500
0.500 0.500 0.000
```

Summary:
ΔH_f (0 K) = 3.97 eV per formula unit
E = -6.401 eV/atom
offset from the most stable computed form = 0 meV per atom


5.
Entry from Alexandria via LeMat-Bulk: a relaxed structure of Dy2Er4Tl (PBE).

POSCAR file:
```
Dy2Er4Tl
1.0
5.766 0.000 0.000
0.000 6.639 0.000
-2.634 0.000 11.042
Dy Er Tl
4 8 2
direct
0.058 0.250 0.478
0.328 0.750 0.067
0.672 0.250 0.933
0.942 0.750 0.522
0.165 0.010 0.790
0.165 0.490 0.790
0.224 0.250 0.073
0.375 0.750 0.365
0.625 0.250 0.635
0.776 0.750 0.927
0.835 0.510 0.210
0.835 0.990 0.210
0.486 0.250 0.347
0.514 0.750 0.653
```

Summary:
ΔH_f (0 K) = 0.05 eV per formula unit
E = -4.253 eV/atom
offset from the most stable computed form = 59 meV per atom


6.
Entry from Alexandria via LeMat-Bulk: a relaxed structure of Ac6AsSe12 (PBE).

POSCAR file:
```
Ac6AsSe12
1.0
6.521 3.765 4.277
-6.521 3.765 4.277
0.000 -7.530 4.277
Ac As Se
6 1 12
direct
0.139 0.636 0.812
0.188 0.861 0.364
0.364 0.188 0.861
0.636 0.812 0.139
0.812 0.139 0.636
0.861 0.364 0.188
0.500 0.500 0.500
0.061 0.316 0.918
0.082 0.939 0.684
0.177 0.512 0.462
0.316 0.918 0.061
0.462 0.177 0.512
0.488 0.538 0.823
0.512 0.462 0.177
0.538 0.823 0.488
0.684 0.082 0.939
0.823 0.488 0.538
0.918 0.061 0.316
0.939 0.684 0.082
```

Summary:
formation energy from raw total energies = -1507 meV/atom
E = -5.250 eV/atom